Entry 1:
Below is a geometry-optimized CaNb2Ru2 structure, with properties calculated at the PBEsol level.

Energy of formation = -0.022 eV/f.u.

abc: 4.329 4.329 6.127
angles: 110.69 110.69 90.00
Atoms (fractional coordinates):
Ru1 0.620 0.620 0.240
Ru2 0.380 0.380 0.760
Nb1 0.250 0.750 0.500
Nb2 0.750 0.250 0.500
Ca1 0.000 0.000 0.000

=====

Entry 2:
Below is a geometry-optimized TlSbPb structure, with properties calculated at the PBEsol level.

Energy above the most stable polymorph in this dataset = 38 meV per atom
Energy relative to the elements, uncorrected = 0.047 eV/atom

abc: 5.241 5.241 5.241
angles: 60.00 60.00 60.00
Atoms (fractional coordinates):
Sb1 0.250 0.250 0.250
Tl1 0.000 0.000 0.000
Pb1 0.500 0.500 0.500

=====

Entry 3:
Below is a geometry-optimized MgReTc2 structure, with properties calculated at the PBEsol level.

Energy of formation = 1.615 eV/f.u.

abc: 2.980 4.365 4.465
angles: 90.00 90.00 90.00
Atoms (fractional coordinates):
Tc1 0.000 0.000 0.000
Tc2 0.500 0.000 0.500
Re1 0.000 0.500 0.500
Mg1 0.500 0.500 0.000

=====

Entry 4:
Below is a geometry-optimized NaCd2Pd2 structure, with properties calculated at the PBEsol level.

Energy of formation = -0.555 eV/f.u.
Energy above the most stable polymorph in this dataset = 180 meV per atom

abc: 4.016 4.016 6.907
angles: 106.90 106.90 90.00
Atoms (fractional coordinates):
Pd1 0.750 0.250 0.500
Pd2 0.250 0.750 0.500
Cd1 0.391 0.391 0.782
Cd2 0.609 0.609 0.218
Na1 0.000 0.000 0.000

=====

Entry 5:
Below is a geometry-optimized La2AlSb structure, with properties calculated at the PBEsol level.

Energy above the most stable polymorph in this dataset = 0 meV per atom
Energy relative to the elements, uncorrected = -0.668 eV/atom

abc: 3.933 5.379 5.379
angles: 103.90 90.00 90.00
Atoms (fractional coordinates):
La1 0.000 0.500 0.000
La2 0.000 0.000 0.500
Al1 0.500 0.500 0.500
Sb1 0.500 0.000 0.000

=====

Entry 6:
Below is a geometry-optimized Nb2TcBiPt structure, with properties calculated at the PBEsol level.

Energy of formation = 11.455 eV/f.u.

abc: 4.803 5.106 5.106
angles: 90.00 90.00 90.00
Last column: magnetic moment on the atom in μB.
Atoms (fractional coordinates):
Bi1 0.000 0.000 0.000  0.00
Nb1 0.000 0.000 0.500  -0.68
Nb2 0.000 0.500 0.000  -0.68
Pt1 0.500 0.000 0.000  0.03
Tc1 0.500 0.500 0.500  2.81